The following is a PBE calculation of a geometry-optimized Nd6TlFe2 structure, from Alexandria via LeMat-Bulk.

Computed properties:
formation energy from the elements = -0.032 eV per atom
energy = -5.354 eV/atom
crystal system = orthorhombic
symmetry = Immm, No. 71

a b c (Å): 8.6921 8.6921 8.6921
angles (deg): 107.24 112.34 108.88
With the nearest neighbours (Å) after each atom.
Fractional coordinates of all 18 atoms:
1 Tl 0.0000 0.5000 0.5000  12 Nd 3.45-3.82
2 Tl 0.0000 0.0000 0.0000  8 Nd 3.20-3.31, 2 Fe 3.37
3 Fe 0.5000 0.1070 0.6070  1 Fe 2.21
4 Fe 0.5000 0.8930 0.3930  1 Fe 2.21
5 Fe 0.6664 0.6664 0.0000  6 Nd 2.73-3.04
6 Fe 0.3336 0.3336 0.0000  6 Nd 2.73-3.04
7 Nd 0.3122 0.6718 0.9840  3 Fe 2.92-3.04
8 Nd 0.2081 0.4423 0.2343  1 Fe 2.73
9 Nd 0.7919 0.5577 0.7657  1 Fe 2.73
10 Nd 0.7919 0.0262 0.2343  1 Fe 2.73
11 Nd 0.0991 0.8158 0.2833  3 Fe 3.01-3.13, 1 Tl 3.31
12 Nd 0.3122 0.3282 0.6404  3 Fe 2.92-3.04
13 Nd 0.6878 0.6718 0.3596  3 Fe 2.92-3.04
14 Nd 0.5325 0.8158 0.7167  3 Fe 3.01-3.13, 1 Tl 3.31
15 Nd 0.6878 0.3282 0.0160  3 Fe 2.92-3.04
16 Nd 0.2081 0.9738 0.7657  1 Fe 2.73
17 Nd 0.9009 0.1842 0.7167  3 Fe 3.01-3.13, 1 Tl 3.31
18 Nd 0.4675 0.1842 0.2833  3 Fe 3.01-3.13, 1 Tl 3.31


The following is a PBE calculation of a geometry-optimized Sc4AgAu structure, from Alexandria via LeMat-Bulk.

Computed properties:
formation energy from the elements = 0.205 eV per atom
energy = -5.038 eV/atom
polymorph energy (0 for the lowest one) = 362 meV per atom
crystal system = cubic
symmetry = F-43m, No. 216

a b c (Å): 5.6604 5.6604 5.6604
angles (deg): 60.00 60.00 60.00
With the nearest neighbours (Å) after each atom.
Fractional coordinates of all 6 atoms:
1 Ag 0.7500 0.7500 0.7500  12 Sc 3.32, 4 Au 3.47
2 Sc 0.3746 0.3746 0.3746  6 Sc 2.82-2.84
3 Sc 0.3746 0.8763 0.3746  6 Sc 2.82-2.84
4 Sc 0.8763 0.3746 0.3746  6 Sc 2.82-2.84
5 Sc 0.3746 0.3746 0.8763  6 Sc 2.82-2.84
6 Au 0.0000 0.0000 0.0000  12 Sc 3.32, 4 Ag 3.47


The following is a PBE calculation of a geometry-optimized DyTeBr structure, from Alexandria via LeMat-Bulk.

Computed properties:
energy = -4.674 eV/atom
ΔE_f (raw) = -1.54 eV/atom
crystal system = tetragonal
symmetry = I-4m2, No. 119

a b c (Å): 4.1599 4.1599 12.2511
angles (deg): 99.77 99.77 90.00
With the nearest neighbours (Å) after each atom.
Fractional coordinates of all 6 atoms:
1 Dy 0.5915 0.0915 0.1830  2 Br 2.89, 4 Te 3.14
2 Dy 0.9085 0.4085 0.8170  2 Br 2.89, 4 Te 3.14
3 Te 0.4542 0.9542 0.9084  5 Dy 3.14-3.27
4 Te 0.0458 0.5458 0.0916  5 Dy 3.14-3.27
5 Br 0.6759 0.6759 0.3519  2 Dy 2.89
6 Br 0.3241 0.3241 0.6481  2 Dy 2.89


The following is a PBE calculation of a geometry-optimized KScTe3 structure, from Alexandria via LeMat-Bulk.

Computed properties:
energy = -2.689 eV/atom
ΔE_f (raw) = 0.68 eV/atom
polymorph energy (0 for the lowest one) = 1448 meV per atom
crystal system = cubic
symmetry = Pm-3m, No. 221

a b c (Å): 5.8124 5.8124 5.8124
angles (deg): 90.00 90.00 90.00
With the nearest neighbours (Å) after each atom.
Fractional coordinates of all 5 atoms:
1 Te 0.0000 0.5000 0.0000  2 K 2.91
2 Te 0.0000 0.0000 0.5000  2 K 2.91
3 Te 0.5000 0.0000 0.0000  2 K 2.91
4 K 0.0000 0.0000 0.0000  6 Te 2.91
5 Sc 0.5000 0.5000 0.5000  12 Te 4.11


The following is a PBE calculation of a geometry-optimized Tl3Hg3Sb2 structure, from Alexandria via LeMat-Bulk.

Computed properties:
energy = -2.009 eV/atom
ΔE_f (raw) = 0.02 eV/atom
crystal system = orthorhombic
symmetry = Pnma, No. 62

a b c (Å): 6.3277 9.7028 16.4132
angles (deg): 90.00 90.00 90.00
With the nearest neighbours (Å) after each atom.
Fractional coordinates of all 32 atoms:
1 Tl 0.3960 0.6874 0.7500  3 Hg 3.23-3.55, 2 Sb 3.37
2 Tl 0.3809 0.9348 0.1166  1 Sb 3.25, 4 Hg 3.37-3.52
3 Tl 0.1191 0.4348 0.1166  1 Sb 3.25, 4 Hg 3.37-3.52
4 Tl 0.6191 0.0652 0.8834  1 Sb 3.25, 4 Hg 3.37-3.52
5 Tl 0.6191 0.0652 0.6166  1 Sb 3.25, 4 Hg 3.37-3.52
6 Tl 0.1191 0.4348 0.3834  1 Sb 3.25, 4 Hg 3.37-3.52
7 Tl 0.8809 0.5652 0.6166  1 Sb 3.25, 4 Hg 3.37-3.52
8 Tl 0.1040 0.1874 0.7500  3 Hg 3.23-3.55, 2 Sb 3.37
9 Tl 0.6040 0.3126 0.2500  3 Hg 3.23-3.55, 2 Sb 3.37
10 Tl 0.3809 0.9348 0.3834  1 Sb 3.25, 4 Hg 3.37-3.52
11 Tl 0.8809 0.5652 0.8834  1 Sb 3.25, 4 Hg 3.37-3.52
12 Tl 0.8960 0.8126 0.2500  3 Hg 3.23-3.55, 2 Sb 3.37
13 Hg 0.9232 0.8225 0.0340  3 Sb 2.89-3.07
14 Hg 0.4232 0.6775 0.5340  3 Sb 2.89-3.07
15 Hg 0.5768 0.3225 0.0340  3 Sb 2.89-3.07
16 Hg 0.8446 0.8454 0.7500  2 Sb 3.17, 5 Tl 3.23-3.50
17 Hg 0.4232 0.6775 0.9660  3 Sb 2.89-3.07
18 Hg 0.0768 0.1775 0.5340  3 Sb 2.89-3.07
19 Hg 0.1554 0.1546 0.2500  2 Sb 3.17, 5 Tl 3.23-3.50
20 Hg 0.5768 0.3225 0.4660  3 Sb 2.89-3.07
21 Hg 0.9232 0.8225 0.4660  3 Sb 2.89-3.07
22 Hg 0.6554 0.3454 0.7500  2 Sb 3.17, 5 Tl 3.23-3.50
23 Hg 0.0768 0.1775 0.9660  3 Sb 2.89-3.07
24 Hg 0.3446 0.6546 0.2500  2 Sb 3.17, 5 Tl 3.23-3.50
25 Sb 0.3231 0.3947 0.8917  4 Hg 2.89-3.17
26 Sb 0.8231 0.1053 0.1083  4 Hg 2.89-3.17
27 Sb 0.3231 0.3947 0.6083  4 Hg 2.89-3.17
28 Sb 0.6769 0.6053 0.1083  4 Hg 2.89-3.17
29 Sb 0.8231 0.1053 0.3917  4 Hg 2.89-3.17
30 Sb 0.1769 0.8947 0.8917  4 Hg 2.89-3.17
31 Sb 0.6769 0.6053 0.3917  4 Hg 2.89-3.17
32 Sb 0.1769 0.8947 0.6083  4 Hg 2.89-3.17


The following is a PBE calculation of a geometry-optimized AlCdTeMo2 structure, from Alexandria via LeMat-Bulk.

Computed properties:
energy = -4.323 eV/atom
ΔE_f (raw) = 1.57 eV/atom
crystal system = tetragonal
symmetry = P4/mmm, No. 123

a b c (Å): 5.0265 5.1252 5.0265
angles (deg): 90.00 90.00 90.00
With the nearest neighbours (Å) after each atom.
Fractional coordinates of all 5 atoms:
1 Mo 0.5000 0.0000 0.0000  2 Te 2.51
2 Mo 0.0000 0.0000 0.5000  2 Te 2.51
3 Al 0.0000 0.5000 0.0000  2 Te 2.56
4 Cd 0.5000 0.5000 0.5000  4 Al 3.55, 8 Mo 3.59
5 Te 0.0000 0.0000 0.0000  4 Mo 2.51, 2 Al 2.56


The following is a PBE calculation of a geometry-optimized La4AlPt structure, from Alexandria via LeMat-Bulk.

Computed properties:
formation energy from the elements = -0.498 eV per atom
energy = -5.414 eV/atom
polymorph energy (0 for the lowest one) = 0 meV per atom
crystal system = monoclinic
symmetry = P2_1/m, No. 11

a b c (Å): 5.5862 7.2725 9.6701
angles (deg): 90.00 115.62 90.00
With the nearest neighbours (Å) after each atom.
Fractional coordinates of all 12 atoms:
1 La 0.6641 0.2500 0.8773  1 Pt 3.02, 2 Al 3.29-3.32
2 La 0.0952 0.5229 0.7684  2 Pt 3.10-3.32, 1 La 3.30, 2 Al 3.37-3.41
3 La 0.9048 0.4771 0.2316  2 Pt 3.10-3.32, 1 La 3.30, 2 Al 3.37-3.41
4 La 0.0952 0.9771 0.7684  2 Pt 3.10-3.32, 1 La 3.30, 2 Al 3.37-3.41
5 La 0.3359 0.7500 0.1227  1 Pt 3.02, 2 Al 3.29-3.32
6 La 0.9048 0.0229 0.2316  2 Pt 3.10-3.32, 1 La 3.30, 2 Al 3.37-3.41
7 La 0.6099 0.2500 0.4494  2 Pt 2.84-3.06
8 La 0.3901 0.7500 0.5506  2 Pt 2.84-3.06
9 Al 0.6871 0.7500 0.9194  9 La 3.22-3.60
10 Al 0.3129 0.2500 0.0806  9 La 3.22-3.60
11 Pt 0.2133 0.2500 0.5591  5 La 2.84-3.10
12 Pt 0.7867 0.7500 0.4409  5 La 2.84-3.10


The following is a PBE calculation of a geometry-optimized TaV4Mo2 structure, from Alexandria via LeMat-Bulk.

Computed properties:
formation energy from the elements = 1.322 eV per atom
energy = -8.676 eV/atom
crystal system = tetragonal
symmetry = I4/mmm, No. 139

a b c (Å): 4.5564 4.5564 6.9800
angles (deg): 70.95 70.95 90.00
With the nearest neighbours (Å) after each atom.
Fractional coordinates of all 7 atoms:
1 Mo 0.3765 0.3765 0.2469  1 V 2.18
2 Mo 0.6235 0.6235 0.7531  1 V 2.18
3 V 0.7997 0.7997 0.4006  1 Mo 2.18
4 V 0.2003 0.2003 0.5994  1 Mo 2.18
5 V 0.5000 0.0000 0.0000  2 Ta 2.28
6 V 0.0000 0.5000 0.0000  2 Ta 2.28
7 Ta 0.0000 0.0000 0.0000  6 V 2.28-2.48


The following is a PBE calculation of a geometry-optimized VSbTe2Pt structure, from Alexandria via LeMat-Bulk.

Computed properties:
energy = -4.507 eV/atom
ΔE_f (raw) = 0.61 eV/atom
polymorph energy (0 for the lowest one) = 0 meV per atom
crystal system = tetragonal
symmetry = P4/mmm, No. 123

a b c (Å): 5.0260 5.0260 5.0681
angles (deg): 90.00 90.00 90.00
With the nearest neighbours (Å) after each atom.
Fractional coordinates of all 5 atoms:
1 Pt 0.5000 0.5000 0.5000  4 Sb 3.55, 8 Te 3.57
2 V 0.0000 0.0000 0.0000  4 Te 2.51, 2 Sb 2.53
3 Sb 0.0000 0.0000 0.5000  2 V 2.53
4 Te 0.5000 0.0000 0.0000  2 V 2.51
5 Te 0.0000 0.5000 0.0000  2 V 2.51


The following is a PBE calculation of a geometry-optimized Ba2LiLa structure, from Alexandria via LeMat-Bulk.

Computed properties:
formation energy from the elements = 0.319 eV per atom
energy = -2.352 eV/atom
polymorph energy (0 for the lowest one) = 190 meV per atom
crystal system = tetragonal
symmetry = I-42d, No. 122

a b c (Å): 9.6360 9.6360 7.7683
angles (deg): 51.67 51.67 90.00
With the nearest neighbours (Å) after each atom.
Fractional coordinates of all 8 atoms:
1 La 0.7500 0.2500 0.5000  2 Li 3.73, 4 Ba 3.76
2 La 0.0000 0.0000 0.0000  2 Li 3.73, 4 Ba 3.76
3 Ba 0.1592 0.6250 0.2500  2 Li 3.32
4 Ba 0.3750 0.4092 0.7500  2 Li 3.32
5 Ba 0.8750 0.8408 0.7500  2 Li 3.32
6 Ba 0.5908 0.1250 0.2500  2 Li 3.32
7 Li 0.5000 0.5000 0.0000  4 Ba 3.32
8 Li 0.2500 0.7500 0.5000  4 Ba 3.32


The following is a PBE calculation of a geometry-optimized Cs2LiTaCo structure, from Alexandria via LeMat-Bulk.

Computed properties:
formation energy from the elements = 1.287 eV per atom
energy = -3.229 eV/atom
crystal system = tetragonal
symmetry = P4/mmm, No. 123

a b c (Å): 7.2984 4.4255 7.2984
angles (deg): 90.00 90.00 90.00
With the nearest neighbours (Å) after each atom.
Fractional coordinates of all 5 atoms:
1 Cs 0.5000 0.0000 0.0000  2 Ta 3.65
2 Cs 0.0000 0.0000 0.5000  2 Ta 3.65
3 Li 0.5000 0.5000 0.5000  8 Cs 4.27, 2 Li 4.43
4 Co 0.0000 0.5000 0.0000  2 Ta 2.21
5 Ta 0.0000 0.0000 0.0000  2 Co 2.21


The following is a PBE calculation of a geometry-optimized Th2SbRu structure, from Alexandria via LeMat-Bulk.

Computed properties:
energy = -7.231 eV/atom
ΔE_f (raw) = -0.17 eV/atom
polymorph energy (0 for the lowest one) = 529 meV per atom
crystal system = trigonal
symmetry = R-3m, No. 166

a b c (Å): 4.0316 4.0316 9.7994
angles (deg): 78.13 78.13 60.00
With the nearest neighbours (Å) after each atom.
Fractional coordinates of all 4 atoms:
1 Th 0.1119 0.1119 0.6643  3 Ru 2.80
2 Th 0.8881 0.8881 0.3357  3 Ru 2.80
3 Sb 0.0000 0.0000 0.0000  2 Th 3.20
4 Ru 0.5000 0.5000 0.5000  6 Th 2.80